[1]
# KPb2W

An optimized crystal structure of KPb2W (PBE, Alexandria).

Its formation energy from the elements is 3.61 eV/f.u. The total energy is -17.86 eV/f.u. As for the energy relative to the lowest polymorph listed for this composition: 8.19 kcal/mol of atoms.

a = 9.4746 Å, b = 9.4746 Å, c = 9.4746 Å
α = 138.11°, β = 138.11°, γ = 60.74°
With the nearest neighbours (Å) after each atom.
Sites, in units of the cell vectors:
1 K 0.0000 0.0000 0.0000  8 Pb 4.29-4.31, 4 W 4.79
2 K 0.7500 0.2500 0.5000  8 Pb 4.29-4.31, 4 W 4.79
3 Pb 0.3734 0.1250 0.7484  2 W 2.65
4 Pb 0.3750 0.6266 0.7516  2 W 2.65
5 Pb 0.3766 0.6250 0.2516  2 W 2.65
6 Pb 0.8750 0.6234 0.2484  2 W 2.65
7 W 0.2500 0.7500 0.5000  4 Pb 2.65
8 W 0.5000 0.5000 0.0000  4 Pb 2.65



[2]
# K2PbW

An optimized crystal structure of K2PbW (PBE, Alexandria).

Its formation energy from the elements is 3.91 eV/f.u. The total energy is -14.94 eV/f.u.

a = 3.1897 Å, b = 3.1897 Å, c = 12.1165 Å
α = 90.00°, β = 90.00°, γ = 104.31°
With the nearest neighbours (Å) after each atom.
Sites, in units of the cell vectors:
1 K 0.0000 0.0000 0.0000  4 K 3.19, 2 Pb 3.55
2 K 0.5000 0.5000 0.3456  4 K 3.19, 2 W 3.43
3 Pb 0.5000 0.5000 0.7560  2 W 2.91, 4 Pb 3.19
4 W 0.0000 0.0000 0.5784  2 Pb 2.91, 4 W 3.19



[3]
# KPb3W

An optimized crystal structure of KPb3W (PBE, Alexandria).

Its formation energy from the elements is 11.64 eV/f.u. The total energy is -13.53 eV/f.u. As for the energy relative to the lowest polymorph listed for this composition: 44.85 kcal/mol of atoms.

a = 5.6851 Å, b = 5.6851 Å, c = 5.6851 Å
α = 90.00°, β = 90.00°, γ = 90.00°
With the nearest neighbours (Å) after each atom.
Sites, in units of the cell vectors:
1 K 0.0000 0.0000 0.0000  6 Pb 2.84
2 Pb 0.0000 0.0000 0.5000  2 K 2.84
3 Pb 0.0000 0.5000 0.0000  2 K 2.84
4 Pb 0.5000 0.0000 0.0000  2 K 2.84
5 W 0.5000 0.5000 0.5000  12 Pb 4.02